Entry 1:
This record from the Alexandria database describes a geometry-optimized PmNi5Pb structure. The functional is GGA-PBE.

a = 4.9564 Å, b = 8.2266 Å, c = 10.4452 Å
α = 90.00°, β = 90.00°, γ = 90.00°
With the nearest neighbours (Å) after each atom.
Positions (direct):
Pm 0.2500 0.2524 0.9390  6 Ni 2.80-3.08
Pm 0.7500 0.2476 0.4390  6 Ni 2.80-3.08
Pm 0.2500 0.7524 0.5610  6 Ni 2.80-3.08
Pm 0.7500 0.7476 0.0610  6 Ni 2.80-3.08
Ni 0.2500 0.5784 0.0174  5 Ni 2.47-2.49
Ni 0.7500 0.9216 0.5174  5 Ni 2.47-2.49
Ni 0.2500 0.0784 0.4826  5 Ni 2.47-2.49
Ni 0.7500 0.4216 0.9826  5 Ni 2.47-2.49
Ni 0.7500 0.3144 0.7599  7 Ni 2.48-2.54
Ni 0.2500 0.1856 0.2599  7 Ni 2.48-2.54
Ni 0.7500 0.8144 0.7401  7 Ni 2.48-2.54
Ni 0.2500 0.6856 0.2401  7 Ni 2.48-2.54
Ni 0.2500 0.9468 0.1100  4 Ni 2.45-2.54, 1 Pb 2.66
Ni 0.7500 0.5532 0.6100  4 Ni 2.45-2.54, 1 Pb 2.66
Ni 0.2500 0.4468 0.3900  4 Ni 2.45-2.54, 1 Pb 2.66
Ni 0.7500 0.0532 0.8900  4 Ni 2.45-2.54, 1 Pb 2.66
Ni 0.0023 0.4319 0.1871  7 Ni 2.45-2.50
Ni 0.9977 0.0681 0.6871  7 Ni 2.45-2.50
Ni 0.4977 0.9319 0.3129  7 Ni 2.45-2.50
Ni 0.5023 0.5681 0.8129  7 Ni 2.45-2.50
Ni 0.9977 0.5681 0.8129  7 Ni 2.45-2.50
Ni 0.0023 0.9319 0.3129  7 Ni 2.45-2.50
Ni 0.5023 0.0681 0.6871  7 Ni 2.45-2.50
Ni 0.4977 0.4319 0.1871  7 Ni 2.45-2.50
Pb 0.2500 0.8616 0.8640  10 Ni 2.66-2.95
Pb 0.7500 0.6384 0.3640  10 Ni 2.66-2.95
Pb 0.2500 0.3616 0.6360  10 Ni 2.66-2.95
Pb 0.7500 0.1384 0.1360  10 Ni 2.66-2.95

Summary:
Magnetization ... 0.0 Bohr magnetons per cell
Energy of formation from the pure elements ... -209 meV/atom

Entry 2:
This record from the Alexandria database describes a geometry-optimized LiNdPd4Pb2 structure. The functional is GGA-PBE.

a = 4.7283 Å, b = 4.7283 Å, c = 8.5692 Å
α = 73.99°, β = 73.99°, γ = 60.00°
With the nearest neighbours (Å) after each atom.
Positions (direct):
Li 0.5000 0.5000 0.5000  8 Pd 2.63-2.90
Nd 0.0000 0.0000 0.0000  8 Pd 3.08-3.09
Pd 0.3921 0.3921 0.8236  1 Li 2.63, 3 Pb 2.83
Pd 0.8730 0.8730 0.3809  4 Pb 2.84-2.88, 3 Li 2.90, 1 Nd 3.09
Pd 0.1270 0.1270 0.6191  4 Pb 2.84-2.88, 3 Li 2.90, 1 Nd 3.09
Pd 0.6079 0.6079 0.1764  1 Li 2.63, 3 Pb 2.83
Pb 0.7564 0.7564 0.7308  7 Pd 2.83-2.88
Pb 0.2436 0.2436 0.2692  7 Pd 2.83-2.88

Summary:
Magnetization ... 0.0 Bohr magnetons per cell
Energy of formation from the pure elements ... -507 meV/atom

Entry 3:
This record from the Alexandria database describes a geometry-optimized Ba2LiMg3Bi4 structure. The functional is GGA-PBE.

a = 5.3751 Å, b = 5.3751 Å, c = 11.1865 Å
α = 90.00°, β = 90.00°, γ = 90.00°
With the nearest neighbours (Å) after each atom.
Positions (direct):
Ba 0.5000 0.0000 0.2427  9 Bi 3.82-4.25, 2 Li 3.94, 7 Mg 3.94-4.05
Ba 0.0000 0.5000 0.7573  9 Bi 3.82-4.25, 2 Li 3.94, 7 Mg 3.94-4.05
Li 0.5000 0.5000 0.5000  4 Bi 3.02
Mg 0.0000 0.0000 0.5000  4 Bi 3.02
Mg 0.5000 0.0000 0.8817  5 Bi 2.90-3.00
Mg 0.0000 0.5000 0.1183  5 Bi 2.90-3.00
Bi 0.5000 0.5000 0.0000  4 Mg 3.00
Bi 0.0000 0.0000 0.0000  4 Mg 3.00
Bi 0.5000 0.0000 0.6228  3 Mg 2.90-3.02, 2 Li 3.02
Bi 0.0000 0.5000 0.3772  3 Mg 2.90-3.02, 2 Li 3.02

Summary:
Magnetization ... 0.0 Bohr magnetons per cell
Energy of formation from the pure elements ... -562 meV/atom

Entry 4:
This record from the Alexandria database describes a geometry-optimized Na2Cd5In3 structure. The functional is GGA-PBE.

a = 6.2540 Å, b = 9.8161 Å, c = 9.8161 Å
α = 89.39°, β = 71.42°, γ = 71.42°
With the nearest neighbours (Å) after each atom.
Positions (direct):
Na 0.1254 0.6315 0.1177  4 Cd 3.39-3.45, 4 In 3.41-3.47
Na 0.6254 0.1177 0.6315  4 Cd 3.39-3.45, 4 In 3.41-3.47
Na 0.8746 0.3685 0.8823  4 Cd 3.39-3.45, 4 In 3.41-3.47
Na 0.3746 0.8823 0.3685  4 Cd 3.39-3.45, 4 In 3.41-3.47
Cd 0.3700 0.2781 0.9819  3 In 2.81-3.04, 2 Cd 2.99
Cd 0.8700 0.9819 0.2781  3 In 2.81-3.04, 2 Cd 2.99
Cd 0.6300 0.7219 0.0181  3 In 2.81-3.04, 2 Cd 2.99
Cd 0.1300 0.0181 0.7219  3 In 2.81-3.04, 2 Cd 2.99
Cd 0.5022 0.7478 0.7478  5 Cd 2.99-3.13, 3 In 3.03-3.15
Cd 0.4978 0.2522 0.2522  5 Cd 2.99-3.13, 3 In 3.03-3.15
Cd 0.7500 0.5000 0.5000  4 In 2.98, 4 Cd 3.09-3.13
Cd 0.2500 0.5000 0.5000  4 In 2.98, 4 Cd 3.09-3.13
Cd 0.9978 0.2522 0.2522  5 Cd 2.99-3.13, 3 In 3.03-3.15
Cd 0.0022 0.7478 0.7478  5 Cd 2.99-3.13, 3 In 3.03-3.15
In 0.3800 0.4716 0.7684  5 Cd 2.81-3.03
In 0.8800 0.7684 0.4716  5 Cd 2.81-3.03
In 0.6200 0.5284 0.2316  5 Cd 2.81-3.03
In 0.1200 0.2316 0.5284  5 Cd 2.81-3.03
In 0.2500 0.0000 0.0000  6 Cd 3.04-3.15, 2 In 3.13
In 0.7500 0.0000 0.0000  6 Cd 3.04-3.15, 2 In 3.13

Summary:
Magnetization ... 0.0 Bohr magnetons per cell
Relative energy among the computed polymorphs ... 0.39 eV per formula unit
Energy of formation from the pure elements ... -28 meV/atom

Entry 5:
This record from the Alexandria database describes a geometry-optimized KIn2Os structure. The functional is GGA-PBE.

a = 5.5298 Å, b = 5.5298 Å, c = 3.0395 Å
α = 90.00°, β = 90.00°, γ = 107.74°
With the nearest neighbours (Å) after each atom.
Positions (direct):
In 0.0000 0.0000 0.0000  4 In 3.04-3.26, 4 Os 3.16, 4 K 3.16
In 0.5000 0.5000 0.0000  4 In 3.04-3.26, 4 K 3.16, 4 Os 3.16
K 0.5000 0.0000 0.5000  2 K 3.04, 8 In 3.16, 2 Os 3.26
Os 0.0000 0.5000 0.5000  2 Os 3.04, 8 In 3.16, 2 K 3.26

Summary:
Magnetization ... 1.2 Bohr magnetons per cell
Relative energy among the computed polymorphs ... 2.20 eV per formula unit
Energy of formation from the pure elements ... 884 meV/atom

Entry 6:
This record from the Alexandria database describes a geometry-optimized Ba3Li2Tl9 structure. The functional is GGA-PBE.

a = 5.1763 Å, b = 9.7499 Å, c = 9.7499 Å
α = 71.47°, β = 74.61°, γ = 74.61°
With the nearest neighbours (Å) after each atom.
Positions (direct):
Ba 0.0000 0.0000 0.0000  12 Tl 3.78-3.86
Ba 0.6991 0.3009 0.3009  12 Tl 3.68-4.02, 2 Li 3.71
Ba 0.3009 0.6991 0.6991  12 Tl 3.68-4.02, 2 Li 3.71
Li 0.5000 0.3064 0.6936  2 Tl 2.99
Li 0.5000 0.6936 0.3064  2 Tl 2.99
Tl 0.0000 0.5000 0.5000  4 Tl 3.24, 4 Li 3.40
Tl 0.6520 0.9846 0.7113  1 Li 2.99, 4 Tl 3.09-3.23
Tl 0.3480 0.0154 0.2887  1 Li 2.99, 4 Tl 3.09-3.23
Tl 0.6520 0.7113 0.9846  1 Li 2.99, 4 Tl 3.09-3.23
Tl 0.3480 0.2887 0.0154  1 Li 2.99, 4 Tl 3.09-3.23
Tl 0.8592 0.8569 0.4247  4 Tl 3.09-3.24, 2 Li 3.35
Tl 0.1408 0.1431 0.5753  4 Tl 3.09-3.24, 2 Li 3.35
Tl 0.8592 0.4247 0.8569  4 Tl 3.09-3.24, 2 Li 3.35
Tl 0.1408 0.5753 0.1431  4 Tl 3.09-3.24, 2 Li 3.35

Summary:
Magnetization ... 0.0 Bohr magnetons per cell
Energy of formation from the pure elements ... -297 meV/atom

Entry 7:
This record from the Alexandria database describes a geometry-optimized Ca2LaMnAs structure. The functional is GGA-PBE.

a = 5.4597 Å, b = 5.8374 Å, c = 5.4597 Å
α = 90.00°, β = 90.00°, γ = 90.00°
With the nearest neighbours (Å) after each atom.
Positions (direct):
As 0.0000 0.0000 0.0000  4 Ca 2.73, 2 La 2.92
Mn 0.5000 0.5000 0.5000  4 La 3.86, 8 Ca 4.00
Ca 0.0000 0.0000 0.5000  2 As 2.73
Ca 0.5000 0.0000 0.0000  2 As 2.73
La 0.0000 0.5000 0.0000  2 As 2.92

Summary:
Magnetization ... 0.2 Bohr magnetons per cell
Energy of formation from the pure elements ... 392 meV/atom

Entry 8:
This record from the Alexandria database describes a geometry-optimized NdEr3Sc7 structure. The functional is GGA-PBE.

a = 5.4401 Å, b = 7.9835 Å, c = 7.9835 Å
α = 82.18°, β = 109.98°, γ = 109.98°
With the nearest neighbours (Å) after each atom.
Positions (direct):
Nd 0.5000 0.5000 0.5000  2 Sc 2.72
Er 0.0000 0.7919 0.2081  5 Sc 3.06-3.21
Er 0.5000 0.0000 0.0000  4 Sc 3.07
Er 0.0000 0.2081 0.7919  5 Sc 3.06-3.21
Sc 0.2077 0.2071 0.2071  2 Er 3.12, 1 Nd 3.14, 6 Sc 3.35-3.38
Sc 0.2824 0.9728 0.5923  2 Er 3.07-3.21, 5 Sc 3.07-3.38
Sc 0.7176 0.4077 0.0272  2 Er 3.07-3.21, 5 Sc 3.07-3.38
Sc 0.2824 0.5923 0.9728  2 Er 3.07-3.21, 5 Sc 3.07-3.38
Sc 0.0000 0.5000 0.5000  2 Nd 2.72
Sc 0.7176 0.0272 0.4077  2 Er 3.07-3.21, 5 Sc 3.07-3.38
Sc 0.7923 0.7929 0.7929  2 Er 3.12, 1 Nd 3.14, 6 Sc 3.35-3.38

Summary:
Magnetization ... 0.0 Bohr magnetons per cell
Energy of formation from the pure elements ... 286 meV/atom

Entry 9:
This record from the Alexandria database describes a geometry-optimized HfTl structure. The functional is GGA-PBE.

a = 12.3519 Å, b = 18.9561 Å, c = 3.1641 Å
α = 90.00°, β = 90.00°, γ = 90.00°
With the nearest neighbours (Å) after each atom.
Positions (direct):
Hf 0.0000 0.8815 0.0000  6 Tl 3.02-3.17, 4 Hf 3.16-3.20
Hf 0.0000 0.1185 0.0000  6 Tl 3.02-3.17, 4 Hf 3.16-3.20
Hf 0.2500 0.8685 0.2500  6 Tl 3.02-3.17, 4 Hf 3.16-3.20
Hf 0.2500 0.6315 0.2500  6 Tl 3.02-3.17, 4 Hf 3.16-3.20
Hf 0.0000 0.3815 0.5000  6 Tl 3.02-3.17, 4 Hf 3.16-3.20
Hf 0.0000 0.6185 0.5000  6 Tl 3.02-3.17, 4 Hf 3.16-3.20
Hf 0.2500 0.3685 0.7500  6 Tl 3.02-3.17, 4 Hf 3.16-3.20
Hf 0.2500 0.1315 0.7500  6 Tl 3.02-3.17, 4 Hf 3.16-3.20
Hf 0.5000 0.8815 0.5000  6 Tl 3.02-3.17, 4 Hf 3.16-3.20
Hf 0.5000 0.1185 0.5000  6 Tl 3.02-3.17, 4 Hf 3.16-3.20
Hf 0.7500 0.8685 0.7500  6 Tl 3.02-3.17, 4 Hf 3.16-3.20
Hf 0.7500 0.6315 0.7500  6 Tl 3.02-3.17, 4 Hf 3.16-3.20
Hf 0.5000 0.3815 0.0000  6 Tl 3.02-3.17, 4 Hf 3.16-3.20
Hf 0.5000 0.6185 0.0000  6 Tl 3.02-3.17, 4 Hf 3.16-3.20
Hf 0.7500 0.3685 0.2500  6 Tl 3.02-3.17, 4 Hf 3.16-3.20
Hf 0.7500 0.1315 0.2500  6 Tl 3.02-3.17, 4 Hf 3.16-3.20
Tl 0.6284 0.0000 0.0000  6 Hf 3.02-3.17, 3 Tl 3.16-3.17
Tl 0.3716 0.0000 0.0000  6 Hf 3.02-3.17, 3 Tl 3.16-3.17
Tl 0.6216 0.7500 0.2500  6 Hf 3.02-3.17, 3 Tl 3.16-3.17
Tl 0.8784 0.7500 0.2500  6 Hf 3.02-3.17, 3 Tl 3.16-3.17
Tl 0.6284 0.5000 0.5000  6 Hf 3.02-3.17, 3 Tl 3.16-3.17
Tl 0.3716 0.5000 0.5000  6 Hf 3.02-3.17, 3 Tl 3.16-3.17
Tl 0.6216 0.2500 0.7500  6 Hf 3.02-3.17, 3 Tl 3.16-3.17
Tl 0.8784 0.2500 0.7500  6 Hf 3.02-3.17, 3 Tl 3.16-3.17
Tl 0.1284 0.0000 0.5000  6 Hf 3.02-3.17, 3 Tl 3.16-3.17
Tl 0.8716 0.0000 0.5000  6 Hf 3.02-3.17, 3 Tl 3.16-3.17
Tl 0.1216 0.7500 0.7500  6 Hf 3.02-3.17, 3 Tl 3.16-3.17
Tl 0.3784 0.7500 0.7500  6 Hf 3.02-3.17, 3 Tl 3.16-3.17
Tl 0.1284 0.5000 0.0000  6 Hf 3.02-3.17, 3 Tl 3.16-3.17
Tl 0.8716 0.5000 0.0000  6 Hf 3.02-3.17, 3 Tl 3.16-3.17
Tl 0.1216 0.2500 0.2500  6 Hf 3.02-3.17, 3 Tl 3.16-3.17
Tl 0.3784 0.2500 0.2500  6 Hf 3.02-3.17, 3 Tl 3.16-3.17

Summary:
Magnetization ... 0.0 Bohr magnetons per cell
Energy of formation from the pure elements ... 224 meV/atom

Entry 10:
This record from the Alexandria database describes a geometry-optimized Si23Ne4 structure. The functional is GGA-PBE.

a = 10.2669 Å, b = 10.2669 Å, c = 10.2669 Å
α = 90.00°, β = 90.00°, γ = 90.00°
With the nearest neighbours (Å) after each atom.
Positions (direct):
Si 0.2500 0.0000 0.5000  4 Si 2.40
Si 0.7500 0.0000 0.5000  4 Si 2.40
Si 0.0000 0.5000 0.2500  4 Si 2.40
Si 0.0000 0.5000 0.7500  4 Si 2.40
Si 0.5000 0.2500 0.0000  4 Si 2.40
Si 0.5000 0.7500 0.0000  4 Si 2.40
Si 0.6839 0.6839 0.6839  4 Si 2.35-2.37
Si 0.6839 0.3161 0.3161  4 Si 2.35-2.37
Si 0.3161 0.6839 0.3161  4 Si 2.35-2.37
Si 0.3161 0.3161 0.6839  4 Si 2.35-2.37
Si 0.8161 0.8161 0.8161  4 Si 2.35-2.37
Si 0.8161 0.1839 0.1839  4 Si 2.35-2.37
Si 0.1839 0.8161 0.1839  4 Si 2.35-2.37
Si 0.1839 0.1839 0.8161  4 Si 2.35-2.37
Si 0.3161 0.3161 0.3161  4 Si 2.35-2.37
Si 0.3161 0.6839 0.6839  4 Si 2.35-2.37
Si 0.6839 0.3161 0.6839  4 Si 2.35-2.37
Si 0.6839 0.6839 0.3161  4 Si 2.35-2.37
Si 0.1839 0.1839 0.1839  4 Si 2.35-2.37
Si 0.1839 0.8161 0.8161  4 Si 2.35-2.37
Si 0.8161 0.1839 0.8161  4 Si 2.35-2.37
Si 0.8161 0.8161 0.1839  4 Si 2.35-2.37
Si 0.0000 0.6925 0.8824  4 Si 2.37-2.41
Si 0.0000 0.3075 0.1176  4 Si 2.37-2.41
Si 0.0000 0.6925 0.1176  4 Si 2.37-2.41
Si 0.0000 0.3075 0.8824  4 Si 2.37-2.41
Si 0.6925 0.8824 0.0000  4 Si 2.37-2.41
Si 0.6925 0.1176 0.0000  4 Si 2.37-2.41
Si 0.3075 0.8824 0.0000  4 Si 2.37-2.41
Si 0.3075 0.1176 0.0000  4 Si 2.37-2.41
Si 0.8824 0.0000 0.6925  4 Si 2.37-2.41
Si 0.8824 0.0000 0.3075  4 Si 2.37-2.41
Si 0.1176 0.0000 0.3075  4 Si 2.37-2.41
Si 0.1176 0.0000 0.6925  4 Si 2.37-2.41
Si 0.8075 0.5000 0.6176  4 Si 2.37-2.41
Si 0.8075 0.5000 0.3824  4 Si 2.37-2.41
Si 0.1925 0.5000 0.3824  4 Si 2.37-2.41
Si 0.1925 0.5000 0.6176  4 Si 2.37-2.41
Si 0.5000 0.6176 0.8075  4 Si 2.37-2.41
Si 0.5000 0.3824 0.1925  4 Si 2.37-2.41
Si 0.5000 0.6176 0.1925  4 Si 2.37-2.41
Si 0.5000 0.3824 0.8075  4 Si 2.37-2.41
Si 0.6176 0.8075 0.5000  4 Si 2.37-2.41
Si 0.6176 0.1925 0.5000  4 Si 2.37-2.41
Si 0.3824 0.8075 0.5000  4 Si 2.37-2.41
Si 0.3824 0.1925 0.5000  4 Si 2.37-2.41
Ne 0.0000 0.0000 0.0000  20 Si 3.27-3.38
Ne 0.5000 0.5000 0.5000  20 Si 3.27-3.38
Ne 0.2500 0.5000 0.0000  20 Si 3.46-3.82
Ne 0.7500 0.5000 0.0000  20 Si 3.46-3.82
Ne 0.5000 0.0000 0.2500  20 Si 3.46-3.82
Ne 0.5000 0.0000 0.7500  20 Si 3.46-3.82
Ne 0.0000 0.2500 0.5000  20 Si 3.46-3.82
Ne 0.0000 0.7500 0.5000  20 Si 3.46-3.82

Summary:
Magnetization ... 0.0 Bohr magnetons per cell
Raw formation energy ... 0.076 eV/atom

Number 1: calculated total energy -5.547 eV/atom. Number 2: calculated total energy -4.866 eV/atom. Number 3: calculated total energy -3.168 eV/atom. Number 4: calculated total energy -1.571 eV/atom. Number 5: calculated total energy -3.567 eV/atom. Number 6: calculated total energy -2.503 eV/atom. Number 7: calculated total energy -4.158 eV/atom. Number 8: calculated total energy -5.421 eV/atom. Number 9: calculated total energy -5.936 eV/atom. Number 10: calculated total energy -4.548 eV/atom.